No. 1
{
  "formula": "TaBe2Zn",
  "functional": "meta-GGA SCAN",
  "state": "PBEsol geometry",
  "e_form_ev_per_fu": -0.149,
  "spacegroup": "No. 123",
  "cell": [[-1.036, -0.777, -2.419], [-1.094, -2.222, 1.182], [-5.291, 3.254, 1.221]],
  "species": ["Be", "Be", "Zn", "Ta"],
  "frac_coords": [[0.000, 0.000, 0.719], [0.000, 0.000, 0.281], [0.500, 0.500, 0.500], [0.500, 0.500, 0.000]]
}

No. 2
{
  "formula": "Cs3SbS4",
  "functional": "meta-GGA SCAN",
  "state": "PBEsol geometry",
  "e_form_raw_ev_per_atom": -1.083,
  "spacegroup": "No. 62",
  "cell": [[-2.443, -8.847, -3.473], [3.369, -4.255, 8.468], [-10.451, 1.047, 4.684]],
  "species": ["Cs", "Cs", "Cs", "Cs", "Cs", "Cs", "Cs", "Cs", "Cs", "Cs", "Cs", "Cs", "Sb", "Sb", "Sb", "Sb", "S", "S", "S", "S", "S", "S", "S", "S", "S", "S", "S", "S", "S", "S", "S", "S"],
  "frac_coords": [[0.148, 0.082, 0.750], [0.648, 0.418, 0.750], [0.852, 0.918, 0.250], [0.352, 0.582, 0.250], [0.950, 0.702, 0.541], [0.450, 0.798, 0.959], [0.050, 0.298, 0.041], [0.550, 0.202, 0.459], [0.050, 0.298, 0.459], [0.550, 0.202, 0.041], [0.950, 0.702, 0.959], [0.450, 0.798, 0.541], [0.228, 0.520, 0.750], [0.728, 0.980, 0.750], [0.772, 0.480, 0.250], [0.272, 0.020, 0.250], [0.199, 0.752, 0.750], [0.699, 0.748, 0.750], [0.801, 0.248, 0.250], [0.301, 0.252, 0.250], [0.011, 0.419, 0.750], [0.511, 0.081, 0.750], [0.989, 0.581, 0.250], [0.489, 0.919, 0.250], [0.154, 0.961, 0.420], [0.654, 0.539, 0.080], [0.846, 0.039, 0.920], [0.346, 0.461, 0.580], [0.846, 0.039, 0.580], [0.346, 0.461, 0.920], [0.154, 0.961, 0.080], [0.654, 0.539, 0.420]]
}

No. 3
{
  "formula": "HfSbI2O",
  "functional": "meta-GGA SCAN",
  "state": "PBEsol geometry",
  "e_form_raw_ev_per_atom": 0.360,
  "spacegroup": "No. 123",
  "cell": [[5.510, 0.000, 0.000], [0.000, 5.510, 0.000], [0.000, 0.000, 5.557]],
  "species": ["I", "I", "Sb", "Hf", "O"],
  "frac_coords": [[0.000, 0.500, 0.000], [0.500, 0.000, 0.000], [0.000, 0.000, 0.500], [0.000, 0.000, 0.000], [0.500, 0.500, 0.500]]
}

No. 4
{
  "formula": "ZrCu3Te",
  "functional": "meta-GGA SCAN",
  "state": "PBEsol geometry",
  "e_form_raw_ev_per_atom": 1.301,
  "spacegroup": "No. 221",
  "cell": [[-3.463, 1.349, -3.033], [-2.734, -3.645, 1.500], [-1.883, 2.811, 3.400]],
  "species": ["Te", "Cu", "Cu", "Cu", "Zr"],
  "frac_coords": [[0.500, 0.500, 0.500], [0.000, 0.500, 0.000], [0.000, 0.000, 0.500], [0.500, 0.000, 0.000], [0.000, 0.000, 0.000]]
}

No. 5
{
  "formula": "HfAl2",
  "functional": "meta-GGA SCAN",
  "state": "PBEsol geometry",
  "e_form_ev_per_fu": -1.390,
  "spacegroup": "No. 194",
  "cell": [[-4.400, 2.785, -0.050], [1.153, -3.119, -4.009], [-4.164, -6.508, 3.865]],
  "species": ["Hf", "Hf", "Hf", "Hf", "Al", "Al", "Al", "Al", "Al", "Al", "Al", "Al"],
  "frac_coords": [[0.333, 0.667, 0.064], [0.667, 0.333, 0.564], [0.667, 0.333, 0.936], [0.333, 0.667, 0.436], [0.659, 0.829, 0.750], [0.829, 0.171, 0.250], [0.829, 0.659, 0.250], [0.171, 0.341, 0.750], [0.000, 0.000, 0.500], [0.000, 0.000, 0.000], [0.341, 0.171, 0.250], [0.171, 0.829, 0.750]]
}

No. 6
{
  "formula": "Cu2TcBr",
  "functional": "meta-GGA SCAN",
  "state": "PBEsol geometry",
  "e_form_raw_ev_per_atom": 0.982,
  "polymorph_energy_mev_per_atom": 338,
  "spacegroup": "No. 216",
  "cell": [[-1.617, 0.450, 3.954], [-3.887, -1.578, 0.923], [-0.374, -3.422, 2.570]],
  "species": ["Br", "Cu", "Cu", "Tc"],
  "frac_coords": [[0.500, 0.500, 0.500], [0.000, 0.000, 0.000], [0.750, 0.750, 0.750], [0.250, 0.250, 0.250]]
}

No. 7
{
  "formula": "Ta2BeCd",
  "functional": "meta-GGA SCAN",
  "state": "PBEsol geometry",
  "polymorph_energy_mev_per_atom": 92,
  "e_form_ev_per_fu": 0.956,
  "spacegroup": "No. 71",
  "cell": [[3.510, 0.000, 0.000], [0.000, 4.214, 0.000], [-1.755, -2.107, 4.331]],
  "species": ["Be", "Cd", "Ta", "Ta"],
  "frac_coords": [[0.500, 0.000, 0.000], [0.000, 0.500, 0.000], [0.768, 0.768, 0.537], [0.232, 0.232, 0.463]]
}

No. 8
{
  "formula": "AgIrRh",
  "functional": "meta-GGA SCAN",
  "state": "PBEsol geometry",
  "e_form_ev_per_fu": 1.025,
  "spacegroup": "No. 42",
  "cell": [[-1.564, -0.971, 1.966], [0.943, -1.914, 1.649], [1.651, 4.508, 5.386]],
  "species": ["Ag", "Ir", "Rh"],
  "frac_coords": [[0.001, 0.000, 0.998], [0.328, 0.000, 0.344], [0.671, 0.000, 0.658]]
}

No. 9
{
  "formula": "KAlF4",
  "functional": "meta-GGA SCAN",
  "state": "PBEsol geometry",
  "e_form_raw_ev_per_atom": -3.609,
  "spacegroup": "No. 123",
  "cell": [[3.630, 0.000, 0.000], [0.000, 3.630, 0.000], [0.000, 0.000, 6.171]],
  "species": ["K", "Al", "F", "F", "F", "F"],
  "frac_coords": [[0.000, 0.000, 0.000], [0.500, 0.500, 0.500], [0.500, 0.000, 0.500], [0.000, 0.500, 0.500], [0.500, 0.500, 0.212], [0.500, 0.500, 0.788]]
}

No. 10
{
  "formula": "Dy2Ge3Pt9",
  "functional": "meta-GGA SCAN",
  "state": "PBEsol geometry",
  "e_form_ev_per_fu": -12.626,
  "spacegroup": "No. 15",
  "cell": [[7.713, 0.003, -0.001], [-3.833, 6.693, 0.001], [-3.818, -2.260, 8.899]],
  "species": ["Dy", "Dy", "Dy", "Dy", "Ge", "Ge", "Ge", "Ge", "Ge", "Ge", "Pt", "Pt", "Pt", "Pt", "Pt", "Pt", "Pt", "Pt", "Pt", "Pt", "Pt", "Pt", "Pt", "Pt", "Pt", "Pt", "Pt", "Pt"],
  "frac_coords": [[0.667, 0.755, 0.251], [0.003, 0.416, 0.249], [0.333, 0.245, 0.749], [0.997, 0.584, 0.751], [0.864, 0.182, 0.503], [0.179, 0.361, 0.997], [0.821, 0.639, 0.003], [0.136, 0.818, 0.497], [0.500, 0.000, 0.000], [0.500, 0.500, 0.500], [0.448, 0.800, 0.425], [0.221, 0.695, 0.080], [0.554, 0.358, 0.078], [0.781, 0.477, 0.422], [0.115, 0.141, 0.420], [0.554, 0.086, 0.258], [0.328, 0.296, 0.242], [0.552, 0.200, 0.575], [0.219, 0.523, 0.578], [0.882, 0.132, 0.750], [0.875, 0.023, 0.075], [0.672, 0.704, 0.758], [0.446, 0.642, 0.922], [0.118, 0.868, 0.250], [0.779, 0.305, 0.920], [0.446, 0.914, 0.742], [0.125, 0.977, 0.925], [0.885, 0.859, 0.580]]
}

No. 11
{
  "formula": "CuB3F",
  "functional": "meta-GGA SCAN",
  "state": "PBEsol geometry",
  "e_form_raw_ev_per_atom": 2.069,
  "spacegroup": "No. 221",
  "cell": [[3.703, 0.000, 0.000], [0.000, 3.703, 0.000], [0.000, 0.000, 3.703]],
  "species": ["B", "B", "B", "Cu", "F"],
  "frac_coords": [[0.000, 0.500, 0.000], [0.000, 0.000, 0.500], [0.500, 0.000, 0.000], [0.500, 0.500, 0.500], [0.000, 0.000, 0.000]]
}

No. 12
{
  "formula": "Si2AgPt",
  "functional": "meta-GGA SCAN",
  "state": "PBEsol geometry",
  "e_form_raw_ev_per_atom": -0.158,
  "polymorph_energy_mev_per_atom": 0,
  "spacegroup": "No. 38",
  "cell": [[-1.391, -0.151, -2.827], [-2.791, -1.803, 3.230], [-1.916, 4.249, 0.716]],
  "species": ["Ag", "Pt", "Si", "Si"],
  "frac_coords": [[0.328, 0.657, 0.000], [0.154, 0.309, 0.500], [0.051, 0.102, 0.000], [0.446, 0.892, 0.500]]
}

Number 1: energy -89.0 eV per formula unit. Number 2: energy -197.9 eV per formula unit. Number 3: energy -177.8 eV per formula unit. Number 4: energy -107.0 eV per formula unit. Number 5: energy -79.6 eV per formula unit. Number 6: energy -81.0 eV per formula unit. Number 7: energy -167.0 eV per formula unit. Number 8: energy -135.2 eV per formula unit. Number 9: energy -51.9 eV per formula unit. Number 10: energy -797.2 eV per formula unit. Number 11: energy -30.7 eV per formula unit. Number 12: energy -122.2 eV per formula unit.